(1)
Pu2GaBi after structural relaxation, computed with PBE-GGA.

Cell lengths 4.7381, 4.7381, 4.5603 Å; angles 90.00, 90.00, 90.00 degrees
Last column: nearest neighbours and their distance in Å.
Space group P4/mmm (No. 123)
Unique sites:
Pu 0.0000 0.5000 0.0000 x2  4 Bi 3.29, 4 Ga 3.29, 4 Pu 3.35
Ga 0.0000 0.0000 0.5000 x1  8 Pu 3.29, 4 Bi 3.35
Bi 0.5000 0.5000 0.5000 x1  8 Pu 3.29, 4 Ga 3.35

## Properties
energy of formation	-0.310	eV per atom
E above lowest polymorph	0.0	meV/atom

---

(2)
Ta2Cu2B after structural relaxation, computed with PBE-GGA.

Cell lengths 6.0175, 6.0175, 4.1813 Å; angles 90.00, 90.00, 90.00 degrees
Last column: nearest neighbours and their distance in Å.
Space group P4/mbm (No. 127)
Unique sites:
Ta 0.1642 0.3358 0.0000 x4  2 B 2.25
Cu 0.1420 0.6420 0.5000 x4  1 Cu 2.42, 2 Ta 2.66
B 0.0000 0.0000 0.0000 x2  4 Ta 2.25

## Properties
energy of formation	0.394	eV per atom
E above lowest polymorph	0.0	meV/atom

---

(3)
RbMgCoCl5 after structural relaxation, computed with PBE-GGA.

Cell lengths 8.8251, 11.6987, 9.2329 Å; angles 90.00, 112.51, 90.00 degrees
Last column: nearest neighbours and their distance in Å.
Space group C2/c (No. 15)
Unique sites:
Rb 0.0000 0.1579 0.2500 x4  7 Cl 3.24-3.48
Mg 0.0000 0.5000 0.0000 x4  6 Cl 2.43-2.69
Co 0.0000 0.1897 0.7500 x4  4 Cl 2.28
Cl 0.0000 0.4351 0.2500 x4  2 Mg 2.43
Cl 0.1028 0.2999 0.6059 x8  1 Co 2.28
Cl 0.1918 0.0764 0.9277 x8  1 Co 2.28

## Properties
energy relative to the elements, uncorrected	-1.390	eV per atom

---

(4)
MgNi2As after structural relaxation, computed with PBE-GGA.

Cell lengths 2.9865, 4.1210, 4.8282 Å; angles 90.00, 107.65, 90.00 degrees
Last column: nearest neighbours and their distance in Å.
Space group Pm (No. 6)
Unique sites:
Mg 0.0000 0.0000 0.0000 x1  3 Ni 2.39-2.67
Ni 0.2657 0.0000 0.5194 x1  2 As 2.28, 1 Mg 2.39
Ni 0.6547 0.5000 0.3007 x1  3 As 2.48-2.61, 4 Ni 2.73-2.74
As 0.3696 0.5000 0.7329 x1  4 Ni 2.28-2.49

## Properties
energy of formation	-0.175	eV per atom

---

(5)
KCrN after structural relaxation, computed with PBE-GGA.

Cell lengths 3.2929, 3.7167, 10.3009 Å; angles 90.00, 91.29, 90.00 degrees
Last column: nearest neighbours and their distance in Å.
Space group P2_1/m (No. 11)
Unique sites:
K 0.2291 0.2500 0.2052 x2  2 N 2.82
Cr 0.2522 0.2500 0.5310 x2  4 N 1.91-1.96
N 0.2551 0.7500 0.5725 x2  4 Cr 1.91-1.96

## Properties
E above lowest polymorph	0.0	meV/atom
energy relative to the elements, uncorrected	-0.250	eV per atom

---

(6)
Hf2PaS6 after structural relaxation, computed with PBE-GGA.

Cell lengths 12.9635, 4.7674, 8.7100 Å; angles 90.00, 125.64, 90.00 degrees
Last column: nearest neighbours and their distance in Å.
Space group C2/m (No. 12)
Unique sites:
Hf 0.1767 0.0000 0.1074 x4  6 S 2.47-2.71
Pa 0.0000 0.0000 0.5000 x2  8 S 2.80-3.02
S 0.0360 0.0000 0.2123 x4  2 Hf 2.47-2.53
S 0.1360 0.5000 0.5585 x4  1 Hf 2.48
S 0.2454 0.5000 0.1211 x4  3 Hf 2.52-2.71

## Properties
energy relative to the elements, uncorrected	-1.466	eV per atom

---

(7)
TaTe2AsI after structural relaxation, computed with PBE-GGA.

Cell lengths 5.4205, 5.4205, 5.6345 Å; angles 90.00, 90.00, 90.00 degrees
Last column: nearest neighbours and their distance in Å.
Space group P4/mmm (No. 123)
Unique sites:
Ta 0.0000 0.0000 0.0000 x1  4 Te 2.71, 2 I 2.82
Te 0.0000 0.5000 0.0000 x2  2 Ta 2.71
As 0.5000 0.5000 0.5000 x1  4 I 3.83, 8 Te 3.91
I 0.0000 0.0000 0.5000 x1  2 Ta 2.82

## Properties
E above lowest polymorph	0.0	meV/atom
energy relative to the elements, uncorrected	0.569	eV per atom

---

(8)
CoNiRu after structural relaxation, computed with PBE-GGA.

Cell lengths 13.3088, 2.5728, 4.4429 Å; angles 90.00, 109.25, 90.00 degrees
Last column: nearest neighbours and their distance in Å.
Space group C2/m (No. 12)
Unique sites:
Co 0.2474 0.0000 0.2510 x4  3 Ni 2.52-2.55, 3 Ru 2.52-2.59, 6 Co 2.54-2.59
Ni 0.0864 0.0000 0.4285 x4  3 Co 2.52-2.55, 6 Ru 2.55-2.64, 3 Ni 2.57-2.58
Ru 0.0853 0.5000 0.9235 x4  3 Co 2.52-2.59, 6 Ni 2.55-2.64, 3 Ru 2.57-2.58

## Properties
energy of formation	0.126	eV per atom
E above lowest polymorph	2.4	meV/atom

---

Calculated values (eV/atom) of total DFT energy (no corrections) for the records, taken in order: -9.202 -7.321 -3.753 -4.627 -6.599 -7.484 -4.298 -7.262.